# 1
First-principles (SCAN) data for a crystal of SrTa2H relaxed with PBEsol, as listed in Alexandria.

## Properties
V	77	Å³/f.u.
energy	-313.8	eV for the cell shown

Geometry as extended XYZ:
```
8
Lattice="6.010 0.000 0.000 3.005 5.205 0.000 3.005 1.735 4.907" Properties=species:S:1:pos:R:3 pbc="T T T"
Ta 6.010 3.470 0.613
Ta 6.010 1.735 3.067
Ta 4.507 4.337 3.067
Ta 7.512 4.337 3.067
Sr 3.005 1.735 1.227
Sr 0.000 0.000 0.000
H 9.015 5.205 3.680
H 6.010 3.470 2.454
```

=====

# 2
First-principles (SCAN) data for a crystal of Sr2TeH2 relaxed with PBEsol, as listed in Alexandria.

## Properties
V	108	Å³/f.u.
energy	-94.6	eV for the cell shown

Geometry as extended XYZ:
```
5
Lattice="-2.465 1.282 -3.033 -2.988 -2.463 1.387 0.584 5.290 4.551" Properties=species:S:1:pos:R:3 pbc="T T T"
Sr -1.518 3.329 2.641
Sr -3.352 0.781 0.265
Te 0.000 0.000 0.000
H -2.304 2.991 0.348
H -2.565 1.118 2.558
```

=====

# 3
First-principles (SCAN) data for a crystal of SrTeH2 relaxed with PBEsol, as listed in Alexandria.

## Properties
V	75	Å³/f.u.
energy	-134.3	eV for the cell shown

Geometry as extended XYZ:
```
8
Lattice="-2.355 3.245 2.114 0.851 -1.980 3.987 6.866 3.362 -2.372" Properties=species:S:1:pos:R:3 pbc="T T T"
Te 3.483 1.007 2.333
Te 0.000 0.000 0.000
H 1.684 0.179 3.593
H 4.924 2.769 -1.195
H -0.130 3.083 2.847
H 4.248 3.223 2.213
Sr -0.752 0.632 3.050
Sr 1.880 3.620 1.396
```

=====

# 4
First-principles (SCAN) data for a crystal of SrTiH2 relaxed with PBEsol, as listed in Alexandria.

## Properties
V	58	Å³/f.u.
energy	-43.5	eV for the cell shown

Geometry as extended XYZ:
```
4
Lattice="-1.094 -4.069 1.098 1.959 -3.377 -1.929 2.791 -2.473 2.249" Properties=species:S:1:pos:R:3 pbc="T T T"
Ti 0.000 0.000 0.000
H 0.914 -2.480 0.354
H 2.742 -7.439 1.063
Sr 1.828 -4.959 0.709
```

=====

Copy entry 4 word for word.
First-principles (SCAN) data for a crystal of SrTiH2 relaxed with PBEsol, as listed in Alexandria.

## Properties
V	58	Å³/f.u.
energy	-43.5	eV for the cell shown

Geometry as extended XYZ:
```
4
Lattice="-1.094 -4.069 1.098 1.959 -3.377 -1.929 2.791 -2.473 2.249" Properties=species:S:1:pos:R:3 pbc="T T T"
Ti 0.000 0.000 0.000
H 0.914 -2.480 0.354
H 2.742 -7.439 1.063
Sr 1.828 -4.959 0.709
```